Here is crystalline Ba2Zn5Pd3 at its relaxed geometry from the Alexandria database. Energies are from PBE.

Lattice parameters (Å, degrees): 6.527 8.927 8.927 71.53 68.56 68.56
Fractional coordinates of all 20 atoms:
1 Pd 0.379 0.491 0.751
2 Pd 0.250 0.000 0.000
3 Pd 0.879 0.751 0.491
4 Pd 0.750 0.000 0.000
5 Pd 0.121 0.249 0.509
6 Pd 0.621 0.509 0.249
7 Zn 0.012 0.738 0.738
8 Zn 0.988 0.262 0.262
9 Zn 0.626 0.757 0.991
10 Zn 0.512 0.738 0.738
11 Zn 0.488 0.262 0.262
12 Zn 0.750 0.500 0.500
13 Zn 0.374 0.243 0.009
14 Zn 0.126 0.991 0.757
15 Zn 0.874 0.009 0.243
16 Zn 0.250 0.500 0.500
17 Ba 0.124 0.636 0.116
18 Ba 0.376 0.884 0.364
19 Ba 0.624 0.116 0.636
20 Ba 0.876 0.364 0.884

Summary:
Calculated formation energy = -423 kJ/mol of formula units
Density = 6.945 g/cm3
Symmetry = Ibam (72)
Crystal system = orthorhombic

---

Here is crystalline BaZn5Pd2 at its relaxed geometry from the Alexandria database. Energies are from PBE.

Lattice parameters (Å, degrees): 4.213 6.688 6.688 67.15 71.64 71.64
Fractional coordinates of all 8 atoms:
1 Pd 0.242 0.258 0.258
2 Pd 0.758 0.742 0.742
3 Zn 0.654 0.165 0.527
4 Zn 0.654 0.527 0.165
5 Zn 0.346 0.473 0.835
6 Zn 0.346 0.835 0.473
7 Zn 0.000 0.500 0.500
8 Ba 0.000 0.000 0.000

Summary:
Calculated formation energy = -270 kJ/mol of formula units
Density = 6.995 g/cm3
Symmetry = Immm (71)
Crystal system = orthorhombic

---

Here is crystalline Ba5Zn5Pd2 at its relaxed geometry from the Alexandria database. Energies are from PBE.

Lattice parameters (Å, degrees): 4.475 9.044 10.111 84.25 77.22 75.68
Fractional coordinates of all 12 atoms:
1 Zn 0.072 0.672 0.184
2 Zn 0.928 0.328 0.816
3 Zn 0.707 0.246 0.340
4 Zn 0.000 0.000 0.000
5 Zn 0.293 0.754 0.660
6 Ba 0.000 0.500 0.500
7 Ba 0.690 0.698 0.922
8 Ba 0.615 0.080 0.689
9 Ba 0.385 0.920 0.311
10 Ba 0.310 0.302 0.078
11 Pd 0.386 0.468 0.760
12 Pd 0.614 0.532 0.240

Summary:
Calculated formation energy = -372 kJ/mol of formula units
Density = 5.273 g/cm3
Symmetry = C2/m (12)
Crystal system = monoclinic

---

Here is crystalline Ba3Zn2Pd at its relaxed geometry from the Alexandria database. Energies are from PBE.

Lattice parameters (Å, degrees): 4.659 13.632 13.569 90.00 90.00 90.00
Fractional coordinates of all 24 atoms:
1 Zn 0.250 0.488 0.786
2 Zn 0.750 0.512 0.214
3 Zn 0.250 0.684 0.462
4 Zn 0.750 0.988 0.714
5 Zn 0.750 0.184 0.038
6 Zn 0.250 0.012 0.286
7 Zn 0.250 0.816 0.962
8 Zn 0.750 0.316 0.538
9 Ba 0.250 0.700 0.214
10 Ba 0.250 0.800 0.714
11 Ba 0.750 0.200 0.286
12 Ba 0.750 0.944 0.112
13 Ba 0.250 0.127 0.561
14 Ba 0.750 0.556 0.612
15 Ba 0.750 0.627 0.939
16 Ba 0.750 0.300 0.786
17 Ba 0.250 0.444 0.388
18 Ba 0.250 0.373 0.061
19 Ba 0.250 0.056 0.888
20 Ba 0.750 0.873 0.439
21 Pd 0.250 0.369 0.625
22 Pd 0.750 0.869 0.875
23 Pd 0.750 0.631 0.375
24 Pd 0.250 0.131 0.125

Summary:
Calculated formation energy = -187 kJ/mol of formula units
Density = 5.003 g/cm3
Symmetry = Pnma (62)
Crystal system = orthorhombic

---

Here is crystalline BaZn9Pd3 at its relaxed geometry from the Alexandria database. Energies are from PBE.

Lattice parameters (Å, degrees): 5.303 7.175 7.006 81.43 67.76 66.82
Fractional coordinates of all 13 atoms:
1 Pd 0.000 0.000 0.500
2 Pd 0.500 0.000 0.500
3 Pd 0.500 0.500 0.000
4 Zn 0.254 0.239 0.241
5 Zn 0.746 0.761 0.759
6 Zn 0.014 0.650 0.361
7 Zn 0.625 0.350 0.361
8 Zn 0.495 0.239 0.759
9 Zn 0.986 0.350 0.639
10 Zn 0.375 0.650 0.639
11 Zn 0.505 0.761 0.241
12 Zn 0.000 0.500 0.000
13 Ba 0.000 0.000 0.000

Summary:
Calculated formation energy = -384 kJ/mol of formula units
Density = 7.652 g/cm3
Symmetry = C2/m (12)
Crystal system = monoclinic

---

Here is crystalline BaZnPd at its relaxed geometry from the Alexandria database. Energies are from PBE.

Lattice parameters (Å, degrees): 3.651 3.651 6.164 107.23 107.23 90.00
Fractional coordinates of all 3 atoms:
1 Pd 0.716 0.716 0.432
2 Ba 0.000 0.000 0.001
3 Zn 0.283 0.283 0.567

Summary:
Calculated formation energy = -95 kJ/mol of formula units
Density = 6.879 g/cm3
Symmetry = I4mm (107)
Crystal system = tetragonal

---

Here is crystalline BaZn2Pd at its relaxed geometry from the Alexandria database. Energies are from PBE.

Lattice parameters (Å, degrees): 4.502 4.502 6.274 68.85 68.85 60.06
Fractional coordinates of all 4 atoms:
1 Ba 0.496 0.496 0.510
2 Pd 0.686 0.686 0.942
3 Zn 0.307 0.307 0.079
4 Zn 0.011 0.011 0.969

Summary:
Calculated formation energy = -166 kJ/mol of formula units
Density = 6.211 g/cm3
Symmetry = Cm (8)
Crystal system = monoclinic

---

Here is crystalline Ba3Zn4Pd4 at its relaxed geometry from the Alexandria database. Energies are from PBE.

Lattice parameters (Å, degrees): 7.014 7.014 7.014 109.47 109.47 109.47
Fractional coordinates of all 11 atoms:
1 Ba 0.500 0.500 0.000
2 Ba 0.000 0.500 0.500
3 Ba 0.500 0.000 0.500
4 Zn 0.000 0.000 0.614
5 Zn 0.614 0.000 0.000
6 Zn 0.000 0.614 0.000
7 Zn 0.386 0.386 0.386
8 Pd 0.000 0.000 0.252
9 Pd 0.748 0.748 0.748
10 Pd 0.000 0.252 0.000
11 Pd 0.252 0.000 0.000

Summary:
Calculated formation energy = -508 kJ/mol of formula units
Density = 6.871 g/cm3
Symmetry = I-43m (217)
Crystal system = cubic

---

Here is crystalline Ba3Zn8Pd3 at its relaxed geometry from the Alexandria database. Energies are from PBE.

Lattice parameters (Å, degrees): 4.490 8.779 8.779 76.41 75.18 75.18
Fractional coordinates of all 14 atoms:
1 Pd 0.000 0.221 0.779
2 Pd 0.500 0.000 0.000
3 Pd 0.000 0.779 0.221
4 Ba 0.183 0.817 0.817
5 Ba 0.500 0.500 0.500
6 Ba 0.817 0.183 0.183
7 Zn 0.814 0.875 0.497
8 Zn 0.814 0.497 0.875
9 Zn 0.186 0.125 0.503
10 Zn 0.607 0.680 0.106
11 Zn 0.186 0.503 0.125
12 Zn 0.393 0.894 0.320
13 Zn 0.393 0.320 0.894
14 Zn 0.607 0.106 0.680

Summary:
Calculated formation energy = -466 kJ/mol of formula units
Density = 6.550 g/cm3
Symmetry = Immm (71)
Crystal system = orthorhombic

---

Here is crystalline Ba2ZnPd at its relaxed geometry from the Alexandria database. Energies are from PBE.

Lattice parameters (Å, degrees): 7.230 7.230 7.230 63.34 149.36 126.04
Fractional coordinates of all 4 atoms:
1 Ba 0.000 0.731 0.731
2 Ba 0.000 0.269 0.269
3 Zn 0.000 0.000 0.000
4 Pd 0.000 0.500 0.500

Summary:
Calculated formation energy = 207 kJ/mol of formula units
Density = 4.807 g/cm3
Symmetry = Immm (71)
Crystal system = orthorhombic

---

Here is crystalline Ba3Zn2Pd2 at its relaxed geometry from the Alexandria database. Energies are from PBE.

Lattice parameters (Å, degrees): 4.668 4.500 10.773 102.06 102.51 90.00
Fractional coordinates of all 7 atoms:
1 Pd 0.367 0.867 0.734
2 Pd 0.633 0.133 0.266
3 Ba 0.184 0.684 0.368
4 Ba 0.816 0.316 0.632
5 Ba 0.000 0.000 0.000
6 Zn 0.566 0.566 0.132
7 Zn 0.434 0.434 0.868

Summary:
Calculated formation energy = -295 kJ/mol of formula units
Density = 5.813 g/cm3
Symmetry = Immm (71)
Crystal system = orthorhombic

---

Here is crystalline Ba12Zn3Pd5 at its relaxed geometry from the Alexandria database. Energies are from PBE.

Lattice parameters (Å, degrees): 16.892 16.892 16.892 109.47 109.47 109.47
Fractional coordinates of all 80 atoms:
1 Ba 0.534 0.323 0.911
2 Ba 0.623 0.589 0.912
3 Ba 0.289 0.412 0.823
4 Ba 0.411 0.377 0.588
5 Ba 0.123 0.412 0.089
6 Ba 0.677 0.211 0.588
7 Ba 0.677 0.466 0.589
8 Ba 0.966 0.589 0.177
9 Ba 0.877 0.588 0.911
10 Ba 0.823 0.912 0.289
11 Ba 0.877 0.289 0.466
12 Ba 0.211 0.677 0.088
13 Ba 0.589 0.623 0.412
14 Ba 0.588 0.877 0.411
15 Ba 0.034 0.411 0.823
16 Ba 0.177 0.089 0.966
17 Ba 0.623 0.034 0.211
18 Ba 0.089 0.177 0.466
19 Ba 0.123 0.711 0.534
20 Ba 0.789 0.323 0.912
21 Ba 0.466 0.789 0.877
22 Ba 0.711 0.123 0.034
23 Ba 0.911 0.823 0.534
24 Ba 0.177 0.088 0.711
25 Ba 0.534 0.211 0.123
26 Ba 0.377 0.966 0.789
27 Ba 0.466 0.677 0.089
28 Ba 0.377 0.411 0.088
29 Ba 0.823 0.911 0.034
30 Ba 0.289 0.877 0.966
31 Ba 0.412 0.123 0.589
32 Ba 0.088 0.911 0.377
33 Ba 0.089 0.912 0.123
34 Ba 0.411 0.034 0.323
35 Ba 0.034 0.623 0.711
36 Ba 0.789 0.466 0.377
37 Ba 0.912 0.089 0.623
38 Ba 0.588 0.711 0.677
39 Ba 0.412 0.289 0.323
40 Ba 0.323 0.789 0.412
41 Ba 0.211 0.534 0.623
42 Ba 0.088 0.177 0.211
43 Ba 0.911 0.088 0.877
44 Ba 0.589 0.966 0.677
45 Ba 0.323 0.534 0.411
46 Ba 0.912 0.823 0.789
47 Ba 0.711 0.588 0.177
48 Ba 0.966 0.377 0.289
49 Pd 0.000 0.000 0.500
50 Pd 0.875 0.625 0.750
51 Pd 0.000 0.500 0.500
52 Pd 0.875 0.250 0.625
53 Pd 0.125 0.750 0.375
54 Pd 0.625 0.750 0.875
55 Pd 0.250 0.875 0.125
56 Pd 0.500 0.500 0.000
57 Pd 0.750 0.625 0.375
58 Pd 0.000 0.500 0.000
59 Pd 0.500 0.500 0.500
60 Pd 0.500 0.000 0.500
61 Pd 0.125 0.375 0.250
62 Pd 0.250 0.375 0.625
63 Pd 0.375 0.250 0.125
64 Pd 0.750 0.125 0.875
65 Pd 0.000 0.000 0.000
66 Pd 0.625 0.875 0.250
67 Pd 0.375 0.125 0.750
68 Pd 0.500 0.000 0.000
69 Zn 0.125 0.250 0.875
70 Zn 0.250 0.625 0.875
71 Zn 0.625 0.375 0.750
72 Zn 0.375 0.625 0.250
73 Zn 0.375 0.750 0.625
74 Zn 0.250 0.125 0.375
75 Zn 0.750 0.875 0.625
76 Zn 0.125 0.875 0.750
77 Zn 0.875 0.750 0.125
78 Zn 0.750 0.375 0.125
79 Zn 0.875 0.125 0.250
80 Zn 0.625 0.250 0.375

Summary:
Calculated formation energy = -318 kJ/mol of formula units
Density = 4.254 g/cm3
Symmetry = Ia-3d (230)
Crystal system = cubic